Material: Tl2ZnPd8
Method: DFT, GGA-PBE
State: optimized geometry

Output
ρ in g/cm3: 12.15
E_tot in Ry/atom: -0.333
Energy above the lowest structure with this stoichiometry in meV per atom: 0.0
Crystal system: monoclinic

Geometry as POSCAR:
```
Tl2ZnPd8
1.0
7.2819 -2.1108 0.0000
7.2819 2.1108 0.0000
-1.1186 0.0000 5.8940
Tl Zn Pd
2 1 8
Cartesian
1.9450 0.0000 1.1179
11.5002 0.0000 4.7761
7.2819 0.0000 0.0000
-0.2619 0.0000 4.3475
2.5102 0.0000 3.7944
4.7164 0.0000 0.5707
5.3811 0.0000 3.2815
8.0641 0.0000 2.6125
8.7288 0.0000 5.3233
10.9350 0.0000 2.0997
13.7071 0.0000 1.5465
```



Material: Ta5Sb
Method: DFT, GGA-PBE
State: optimized geometry

Output
ρ in g/cm3: 13.50
Formation energy (no corrections) in eV per atom: 0.633
E_tot in Ry/atom: -0.730
Energy above the lowest structure with this stoichiometry in meV per atom: 657.7
Crystal system: hexagonal

Geometry as POSCAR:
```
Ta5Sb
1.0
5.3828 0.0000 0.0000
-2.6914 4.6617 0.0000
0.0000 0.0000 5.0331
Ta Sb
5 1
Cartesian
-1.3457 2.3308 0.0000
0.0000 3.1078 2.5165
2.6914 0.0000 0.0000
1.3457 2.3308 0.0000
2.6914 1.5539 2.5165
0.0000 0.0000 2.5165
```



Material: ThSc2Fe
Method: DFT, GGA-PBE
State: optimized geometry

Output
ρ in g/cm3: 6.96
E_tot in Ry/atom: -0.534
Energy above the lowest structure with this stoichiometry in meV per atom: 0.0
Crystal system: orthorhombic

Geometry as POSCAR:
```
ThSc2Fe
1.0
6.8151 0.0000 0.0000
0.0000 8.8873 0.0000
0.0000 0.0000 5.9559
Th Sc Fe
4 8 4
Cartesian
0.3538 2.2218 0.8303
3.0537 6.6655 3.8083
3.7614 2.2218 2.1476
6.4612 6.6655 5.1256
1.1412 0.6089 3.9611
1.1412 3.8348 3.9611
2.2663 5.0525 0.9831
2.2663 8.2784 0.9831
4.5488 0.6089 4.9728
4.5488 3.8348 4.9728
5.6739 5.0525 1.9948
5.6739 8.2784 1.9948
0.9066 6.6655 2.7281
2.5010 2.2218 5.7061
4.3141 6.6655 0.2499
5.9085 2.2218 3.2278
```



Material: Pr2Sm2Th
Method: DFT, GGA-PBE
State: optimized geometry

Output
ρ in g/cm3: 7.86
E_tot in Ry/atom: -0.387
Energy above the lowest structure with this stoichiometry in meV per atom: 0.0
Crystal system: trigonal

Geometry as POSCAR:
```
Pr2Sm2Th
1.0
1.8263 1.0544 14.8973
-1.8263 1.0544 14.8973
0.0000 -2.1089 14.8973
Pr Sm Th
2 2 1
Cartesian
0.0000 0.0000 8.9538
0.0000 0.0000 35.7379
0.0000 0.0000 17.7454
0.0000 0.0000 26.9463
0.0000 0.0000 0.0000
```



Question: The highest ρ belongs to which entry?
Answer: Ta5Sb



Question: Among the records above, which one has the lowest E_tot?
Answer: Ta5Sb



Please write out number 2 again, unchanged.
Material: Ta5Sb
Method: DFT, GGA-PBE
State: optimized geometry

Output
ρ in g/cm3: 13.50
Formation energy (no corrections) in eV per atom: 0.633
E_tot in Ry/atom: -0.730
Energy above the lowest structure with this stoichiometry in meV per atom: 657.7
Crystal system: hexagonal

Geometry as POSCAR:
```
Ta5Sb
1.0
5.3828 0.0000 0.0000
-2.6914 4.6617 0.0000
0.0000 0.0000 5.0331
Ta Sb
5 1
Cartesian
-1.3457 2.3308 0.0000
0.0000 3.1078 2.5165
2.6914 0.0000 0.0000
1.3457 2.3308 0.0000
2.6914 1.5539 2.5165
0.0000 0.0000 2.5165
```